First-principles (meta-GGA SCAN) data for LiInHg4 at its PBEsol-relaxed geometry, as listed in Alexandria.

Lattice parameters (Å, degrees): 8.334 8.334 8.334 90.00 90.00 90.00
Space group F-43m (No. 216)
One atom of each set of equivalent atoms:
Li 0.000 0.000 0.000 (multiplicity 4)
In 0.250 0.250 0.250 (multiplicity 4)
Hg 0.125 0.125 0.625 (multiplicity 16)

E = -51.393 eV/atom
volume = 24.1 A^3/atom